(1)
A plane-wave DFT calculation with PBE-GGA was carried out for a relaxed structure of Sc2SbPd7.

Results
- Raw total energy: -5.474 eV per atom
- Density: 7.6 g/cm3
- Formation energy without anion corrections: -0.16 eV per atom

a = 7.294 Å, b = 14.029 Å, c = 4.098 Å
α = 90.00°, β = 90.00°, γ = 90.00°
Space group Cmmm (No. 65)
Unique sites:
Sc  0.000  0.192  0.000
Sb  0.000  0.500  0.500
Pd  0.000  0.000  0.000
Pd  0.000  0.303  0.500
Pd  0.187  0.397  0.000

***

(2)
A plane-wave DFT calculation with PBE-GGA was carried out for a relaxed structure of K2CdI4.

Results
- Raw total energy: -2.386 eV per atom
- Energy above the most stable polymorph in this dataset: 0.045 eV/atom
- Density: 3.9 g/cm3
- Formation energy without anion corrections: -1.06 eV per atom

a = 15.576 Å, b = 4.626 Å, c = 9.446 Å
α = 90.00°, β = 120.02°, γ = 90.00°
Space group C2/m (No. 12)
Unique sites:
K  0.149  0.000  0.189
Cd  0.000  0.500  0.500
I  0.044  0.500  0.838
I  0.155  0.000  0.579

***

(3)
A plane-wave DFT calculation with PBE-GGA was carried out for a relaxed structure of Pr2Sm4DyY2.

Results
- Raw total energy: -5.105 eV per atom
- Density: 6.7 g/cm3
- Energy of formation: 0.003 eV per atom

a = 18.975 Å, b = 3.661 Å, c = 9.722 Å
α = 90.00°, β = 115.69°, γ = 90.00°
Space group C2/m (No. 12)
Unique sites:
Pr  0.165  0.000  0.499
Sm  0.019  0.000  0.834
Sm  0.185  0.500  0.834
Dy  0.000  0.500  0.500
Y  0.147  0.500  0.164

***

(4)
A plane-wave DFT calculation with PBE-GGA was carried out for a relaxed structure of AcNdCuSb.

Results
- Raw total energy: -4.727 eV per atom
- Density: 8.0 g/cm3
- Formation energy without anion corrections: -0.45 eV per atom

a = 7.727 Å, b = 7.727 Å, c = 7.727 Å
α = 90.00°, β = 90.00°, γ = 90.00°
Space group F-43m (No. 216)
Unique sites:
Ac  0.000  0.000  0.000
Nd  0.000  0.000  0.500
Cu  0.250  0.250  0.750
Sb  0.250  0.250  0.250

***

(5)
A plane-wave DFT calculation with PBE-GGA was carried out for a relaxed structure of K5Pt.

Results
- Raw total energy: -1.795 eV per atom
- Energy above the most stable polymorph in this dataset: 0.082 eV/atom
- Density: 2.4 g/cm3
- Energy of formation: 0.126 eV per atom

a = 5.425 Å, b = 17.208 Å, c = 5.840 Å
α = 90.00°, β = 90.00°, γ = 90.00°
Space group Cmmm (No. 65)
Unique sites:
K  0.000  0.000  0.000
K  0.000  0.129  0.500
K  0.000  0.355  0.000
Pt  0.000  0.500  0.500

***

(6)
A plane-wave DFT calculation with PBE-GGA was carried out for a relaxed structure of ZrTlCl3.

Results
- Raw total energy: -4.396 eV per atom
- Density: 4.9 g/cm3
- Formation energy without anion corrections: -1.10 eV per atom

a = 5.134 Å, b = 5.134 Å, c = 5.134 Å
α = 90.00°, β = 90.00°, γ = 90.00°
Space group Pm-3m (No. 221)
Unique sites:
Zr  0.000  0.000  0.000
Tl  0.500  0.500  0.500
Cl  0.000  0.000  0.500